[1]
! SrMgCuSb2 (PBE, relaxed); values from VASP
&SYSTEM
  ibrav = 0, nat = 5, ntyp = 4
/
ATOMIC_SPECIES
Sr 87.62 Sr.upf
Mg 24.30 Mg.upf
Cu 63.55 Cu.upf
Sb 121.76 Sb.upf
CELL_PARAMETERS angstrom
5.310 0.000 0.000
0.000 5.310 0.000
0.000 0.000 4.861
ATOMIC_POSITIONS crystal
Sr 0.000 0.000 0.000
Mg 0.500 0.500 0.000
Cu 0.500 0.500 0.500
Sb 0.000 0.500 0.500
Sb 0.500 0.000 0.500
! Formation energy (no corrections) (meV per atom): -211
! Space-group type: P4/mmm (123)
! Relative energy among the computed polymorphs (meV per atom): 0
! V (Å³ per atom): 27.41
! N(E_F) (states/eV per atom): 0.56


[2]
! SrMgCuSb2 (PBE, relaxed); values from VASP
&SYSTEM
  ibrav = 0, nat = 5, ntyp = 4
/
ATOMIC_SPECIES
Sr 87.62 Sr.upf
Mg 24.30 Mg.upf
Cu 63.55 Cu.upf
Sb 121.76 Sb.upf
CELL_PARAMETERS angstrom
6.005 0.000 0.000
0.000 6.005 0.000
0.000 0.000 6.100
ATOMIC_POSITIONS crystal
Sr 0.000 0.000 0.000
Mg 0.000 0.000 0.500
Cu 0.500 0.500 0.500
Sb 0.000 0.500 0.000
Sb 0.500 0.000 0.000
! Formation energy (no corrections) (meV per atom): 1133
! Space-group type: P4/mmm (123)
! Relative energy among the computed polymorphs (meV per atom): 1343
! V (Å³ per atom): 43.99
! N(E_F) (states/eV per atom): 1.05